[1]
{
  "formula": "LiTlPd2",
  "functional": "PBE",
  "state": "optimized geometry",
  "lattice": [[3.136, 0.001, 0.005], [1.569, 2.716, 0.005], [1.577, 0.911, 8.232]],
  "species": ["Pd", "Tl", "Pd", "Li"],
  "fractional_positions": [[0.244, 0.244, 0.271], [0.667, 0.667, 0.000], [0.090, 0.090, 0.729], [0.500, 0.500, 0.500]],
  "e_form_mev_per_atom": -135,
  "space_group": "Cm",
  "crystal_system": "monoclinic",
  "dos_ef_per_ev_fu": 1.4
}

[2]
{
  "formula": "KReSe2",
  "functional": "PBE",
  "state": "optimized geometry",
  "lattice": [[-2.084, -2.168, -1.499], [0.191, -2.035, 2.678], [-6.706, 4.009, 3.524]],
  "species": ["Se", "Re", "K", "Se"],
  "fractional_positions": [[0.500, 0.500, 0.231], [0.500, 0.500, 0.954], [0.000, 0.000, 0.474], [0.000, 0.000, 0.841]],
  "raw_formation_energy_kj_per_mol_atoms": 10,
  "de_polymorph_ev_per_atom": 0.365,
  "space_group": "P4mm",
  "crystal_system": "tetragonal",
  "dos_ef_per_ev_fu": 3.4
}

[3]
{
  "formula": "Sm5Dy2Mg5",
  "functional": "PBE",
  "state": "optimized geometry",
  "lattice": [[-2.525, 1.120, 2.438], [-7.435, -0.881, -4.513], [-4.801, -10.483, 2.626]],
  "species": ["Sm", "Mg", "Sm", "Sm", "Mg", "Sm", "Mg", "Sm", "Mg", "Dy", "Dy", "Mg"],
  "fractional_positions": [[0.668, 0.689, 0.974], [0.828, 0.844, 0.500], [0.500, 0.500, 0.500], [0.332, 0.311, 0.026], [0.766, 0.187, 0.281], [0.560, 0.124, 0.755], [0.000, 0.000, 0.000], [0.440, 0.876, 0.245], [0.234, 0.813, 0.719], [0.882, 0.476, 0.759], [0.118, 0.524, 0.241], [0.172, 0.156, 0.500]],
  "e_form_mev_per_atom": -38,
  "de_polymorph_ev_per_atom": 0.000,
  "space_group": "C2/m",
  "crystal_system": "monoclinic",
  "dos_ef_per_ev_fu": 12.6
}

[4]
{
  "formula": "CaMoP",
  "functional": "PBE",
  "state": "optimized geometry",
  "lattice": [[5.867, 0.002, -0.002], [4.955, 3.143, -0.001], [0.913, 0.265, 3.130]],
  "species": ["Mo", "Ca", "P"],
  "fractional_positions": [[0.291, 0.291, 0.709], [0.001, 0.001, 0.999], [0.709, 0.709, 0.291]],
  "e_form_mev_per_atom": -319,
  "de_polymorph_ev_per_atom": 0.277,
  "space_group": "I4mm",
  "crystal_system": "tetragonal",
  "dos_ef_per_ev_fu": 2.1
}

[5]
{
  "formula": "AgW2CBr",
  "functional": "PBE",
  "state": "optimized geometry",
  "lattice": [[-2.206, -1.948, 3.741], [-2.657, -2.636, -2.940], [2.656, -2.799, 0.109]],
  "species": ["Ag", "Br", "W", "W", "C"],
  "fractional_positions": [[0.500, 0.500, 0.500], [0.000, 0.000, 0.000], [0.500, 0.000, 0.000], [0.000, 0.500, 0.000], [0.000, 0.000, 0.500]],
  "raw_formation_energy_kj_per_mol_atoms": 276,
  "space_group": "P4/mmm",
  "crystal_system": "tetragonal",
  "dos_ef_per_ev_fu": 5.3
}

[6]
{
  "formula": "Pm2Er5Tm12",
  "functional": "PBE",
  "state": "optimized geometry",
  "lattice": [[9.118, 0.000, 0.000], [-4.559, 11.236, -1.631], [0.000, -5.198, 6.588]],
  "species": ["Er", "Pm", "Tm", "Pm", "Tm", "Tm", "Tm", "Er", "Tm", "Er", "Tm", "Tm", "Tm", "Tm", "Tm", "Tm", "Tm", "Er", "Er"],
  "fractional_positions": [[0.303, 0.606, 0.613], [0.686, 0.000, 0.000], [0.565, 0.747, 0.398], [0.314, 0.000, 0.000], [0.435, 0.253, 0.602], [0.024, 0.685, 0.932], [0.661, 0.685, 0.932], [0.766, 0.533, 0.111], [0.819, 0.253, 0.602], [0.234, 0.467, 0.889], [0.905, 0.811, 0.694], [0.181, 0.747, 0.398], [0.556, 0.112, 0.784], [0.444, 0.888, 0.216], [0.976, 0.315, 0.068], [0.095, 0.189, 0.306], [0.339, 0.315, 0.068], [0.000, 0.000, 0.500], [0.697, 0.394, 0.387]],
  "e_form_mev_per_atom": 133,
  "de_polymorph_ev_per_atom": 0.032,
  "space_group": "C2/m",
  "crystal_system": "monoclinic",
  "dos_ef_per_ev_fu": 27.1
}

[7]
{
  "formula": "Zn2Fe5Ge",
  "functional": "PBE",
  "state": "optimized geometry",
  "lattice": [[2.403, 0.000, 0.794], [0.538, 6.116, 2.404], [-0.822, -0.548, 6.519]],
  "species": ["Zn", "Zn", "Fe", "Fe", "Fe", "Ge", "Fe", "Fe"],
  "fractional_positions": [[0.239, 0.261, 0.261], [0.761, 0.739, 0.739], [0.379, 0.378, 0.864], [0.000, 0.500, 0.500], [0.621, 0.622, 0.136], [0.000, 0.000, 0.000], [0.621, 0.136, 0.622], [0.379, 0.864, 0.378]],
  "e_form_mev_per_atom": 163,
  "space_group": "Immm",
  "crystal_system": "orthorhombic",
  "dos_ef_per_ev_fu": 5.4
}

[8]
{
  "formula": "TcSbP4",
  "functional": "PBE",
  "state": "optimized geometry",
  "lattice": [[3.300, -3.979, -0.635], [-1.657, -4.890, 0.677], [-0.503, -3.170, -4.101]],
  "species": ["P", "P", "P", "P", "Sb", "Tc"],
  "fractional_positions": [[0.894, 0.369, 0.369], [0.369, 0.894, 0.369], [0.369, 0.369, 0.894], [0.369, 0.369, 0.369], [0.750, 0.750, 0.750], [0.000, 0.000, 0.000]],
  "raw_formation_energy_kj_per_mol_atoms": 84,
  "space_group": "F-43m",
  "crystal_system": "cubic",
  "dos_ef_per_ev_fu": 3.7
}

[9]
{
  "formula": "Tb6Sm2Er3Pb",
  "functional": "PBE",
  "state": "optimized geometry",
  "lattice": [[6.101, -0.003, 0.009], [-3.051, 5.283, 0.009], [-1.039, -1.798, 11.563]],
  "species": ["Tb", "Tb", "Er", "Tb", "Tb", "Er", "Sm", "Tb", "Sm", "Er", "Pb", "Tb"],
  "fractional_positions": [[0.917, 0.589, 0.749], [0.589, 0.917, 0.749], [0.500, 0.500, 0.500], [0.244, 0.244, 0.747], [0.411, 0.083, 0.251], [0.168, 0.832, 0.500], [0.334, 0.666, 0.000], [0.083, 0.411, 0.251], [0.666, 0.334, 0.000], [0.832, 0.168, 0.500], [0.000, 0.000, 0.000], [0.756, 0.756, 0.253]],
  "e_form_mev_per_atom": -60,
  "space_group": "C2/m",
  "crystal_system": "monoclinic",
  "dos_ef_per_ev_fu": 13.6
}

[10]
{
  "formula": "HgSF2",
  "functional": "PBE",
  "state": "optimized geometry",
  "lattice": [[3.724, -0.034, -0.099], [0.002, 6.062, -2.054], [-0.224, -1.325, 8.216]],
  "species": ["S", "Hg", "F", "S", "Hg", "F", "F", "F"],
  "fractional_positions": [[0.806, 0.621, 0.999], [0.274, 0.821, 0.517], [0.761, 0.560, 0.403], [0.250, 0.565, 0.104], [0.781, 0.365, 0.586], [0.294, 0.626, 0.701], [0.263, 0.123, 0.430], [0.792, 0.063, 0.673]],
  "raw_formation_energy_kj_per_mol_atoms": -93,
  "de_polymorph_ev_per_atom": 0.000,
  "space_group": "P-1",
  "crystal_system": "triclinic",
  "dos_ef_per_ev_fu": 0.3
}

[11]
{
  "formula": "LaAl2Ir2",
  "functional": "PBE",
  "state": "optimized geometry",
  "lattice": [[4.091, 0.000, 0.000], [0.000, 4.091, 0.000], [2.046, 2.046, 5.731]],
  "species": ["La", "Ir", "Ir", "Al", "Al"],
  "fractional_positions": [[0.000, 0.000, 0.000], [0.619, 0.619, 0.762], [0.381, 0.381, 0.238], [0.250, 0.750, 0.500], [0.750, 0.250, 0.500]],
  "e_form_mev_per_atom": -864,
  "de_polymorph_ev_per_atom": 0.000,
  "space_group": "I4/mmm",
  "crystal_system": "tetragonal",
  "dos_ef_per_ev_fu": 2.9
}

[12]
{
  "formula": "Pa6SiAs5",
  "functional": "PBE",
  "state": "optimized geometry",
  "lattice": [[-6.620, 2.403, 0.798], [-4.246, -3.163, -4.714], [-3.263, -6.064, 1.678]],
  "species": ["Si", "As", "As", "Pa", "As", "As", "Pa", "Pa", "Pa", "Pa", "As", "Pa"],
  "fractional_positions": [[0.000, 0.000, 0.000], [0.000, 0.334, 0.332], [0.500, 0.169, 0.663], [0.753, 0.412, 0.671], [0.500, 0.831, 0.337], [0.000, 0.666, 0.668], [0.249, 0.246, 0.000], [0.751, 0.754, 0.000], [0.247, 0.918, 0.671], [0.753, 0.082, 0.329], [0.500, 0.500, 0.000], [0.247, 0.588, 0.329]],
  "raw_formation_energy_kj_per_mol_atoms": -93,
  "space_group": "C2/m",
  "crystal_system": "monoclinic",
  "dos_ef_per_ev_fu": 12.5
}